Record 1
VASP calculation (PBE-GGA) on a relaxed Fe2CoNi crystal.

Output
formation energy	1.4	kJ/mol of atoms
polymorph energy (0 for the lowest one)	0.026	eV per atom

Lattice parameters (Å, degrees): 2.451 3.962 4.791 90.00 100.75 90.00
Space group P2/m (No. 10)
One atom of each set of equivalent atoms:
1 Fe 0.235 0.000 0.252
2 Co 0.000 0.500 0.500
3 Ni 0.500 0.500 0.000

***

Record 2
VASP calculation (PBE-GGA) on a relaxed Cs2RbAs2Pb crystal.

Output
formation energy	-31.6	kJ/mol of atoms

Lattice parameters (Å, degrees): 8.254 16.676 7.418 90.00 90.00 90.00
Space group Ibam (No. 72)
One atom of each set of equivalent atoms:
1 Cs 0.216 0.180 0.000
2 Rb 0.000 0.500 0.250
3 As 0.197 0.099 0.500
4 Pb 0.000 0.000 0.250

***

Record 3
VASP calculation (PBE-GGA) on a relaxed Tb3Cd5In crystal.

Output
formation energy	-29.8	kJ/mol of atoms

Lattice parameters (Å, degrees): 8.9960 8.9960 6.3567 90.00 90.00 120.00
Space group P6_3/mcm (No. 193)
One atom of each set of equivalent atoms:
1 Tb 0.0000 0.3218 0.2500
2 Cd 0.0000 0.3467 0.7500
3 Cd 0.3333 0.6667 0.0000
4 In 0.0000 0.0000 0.0000

***

Record 4
VASP calculation (PBE-GGA) on a relaxed Cs3Nd2ThS6 crystal.

Output
formation energy (no corrections)	-1767	meV/atom

Lattice parameters (Å, degrees): 7.313 12.667 8.475 90.00 106.72 90.00
Space group C2/m (No. 12)
One atom of each set of equivalent atoms:
1 Cs 0.000 0.000 0.000
2 Cs 0.000 0.332 0.000
3 Nd 0.000 0.167 0.500
4 Th 0.000 0.500 0.500
5 S 0.226 0.337 0.687
6 S 0.236 0.000 0.688

***

Record 5
VASP calculation (PBE-GGA) on a relaxed ZrZnSb2 crystal.

Output
formation energy (no corrections)	-121	meV/atom

Lattice parameters (Å, degrees): 4.1745 4.1745 20.0409 90.00 90.00 120.00
Space group R3m (No. 160, hexagonal axes)
One atom of each set of equivalent atoms:
1 Zr 0.0000 0.0000 0.0000
2 Zn 0.0000 0.0000 0.8382
3 Sb 0.0000 0.0000 0.4206
4 Sb 0.0000 0.0000 0.5856

***

Record 6
VASP calculation (PBE-GGA) on a relaxed Dy5TlRh6 crystal.

Output
formation energy	-73.8	kJ/mol of atoms

Lattice parameters (Å, degrees): 4.793 14.404 6.822 90.00 90.00 90.00
Space group Cmmm (No. 65)
One atom of each set of equivalent atoms:
1 Dy 0.000 0.000 0.000
2 Dy 0.000 0.333 0.000
3 Dy 0.000 0.340 0.500
4 Tl 0.000 0.000 0.500
5 Rh 0.000 0.169 0.251
6 Rh 0.000 0.500 0.241

***

Record 7
VASP calculation (PBE-GGA) on a relaxed Pr4CuSI2 crystal.

Output
formation energy (no corrections)	-1023	meV/atom

Lattice parameters (Å, degrees): 7.318 4.146 8.323 90.00 107.17 90.00
Space group P2/m (No. 10)
One atom of each set of equivalent atoms:
1 Pr 0.222 0.000 0.195
2 Pr 0.271 0.500 0.806
3 Cu 0.500 0.000 0.000
4 S 0.000 0.500 0.000
5 I 0.000 0.000 0.500
6 I 0.500 0.500 0.500

***

Record 8
VASP calculation (PBE-GGA) on a relaxed Pm2CuSb4Rh3 crystal.

Output
formation energy (no corrections)	-707	meV/atom

Lattice parameters (Å, degrees): 4.542 4.542 10.507 90.00 90.00 90.00
Space group P-4m2 (No. 115)
One atom of each set of equivalent atoms:
1 Pm 0.000 0.500 0.242
2 Cu 0.500 0.500 0.000
3 Sb 0.000 0.000 0.500
4 Sb 0.000 0.500 0.870
5 Sb 0.500 0.500 0.500
6 Rh 0.000 0.000 0.000
7 Rh 0.000 0.500 0.624

***

Record 9
VASP calculation (PBE-GGA) on a relaxed ScTiCr3 crystal.

Output
formation energy	96.6	kJ/mol of atoms
polymorph energy (0 for the lowest one)	0.000	eV per atom

Lattice parameters (Å, degrees): 4.494 4.494 4.494 90.00 90.00 90.00
Space group Pm-3m (No. 221)
One atom of each set of equivalent atoms:
1 Sc 0.000 0.000 0.000
2 Ti 0.500 0.500 0.500
3 Cr 0.000 0.500 0.500

***

Record 10
VASP calculation (PBE-GGA) on a relaxed LaHg2Br crystal.

Output
formation energy (no corrections)	-642	meV/atom
polymorph energy (0 for the lowest one)	0.064	eV per atom

Lattice parameters (Å, degrees): 7.559 7.559 7.559 90.00 90.00 90.00
Space group F-43m (No. 216)
One atom of each set of equivalent atoms:
1 La 0.000 0.000 0.000
2 Hg 0.000 0.000 0.500
3 Hg 0.250 0.250 0.250
4 Br 0.250 0.250 0.750

***

Record 11
VASP calculation (PBE-GGA) on a relaxed PrZn11Si crystal.

Output
formation energy (no corrections)	-130	meV/atom

Lattice parameters (Å, degrees): 5.242 12.784 6.787 90.00 111.95 90.00
Space group C2/m (No. 12)
One atom of each set of equivalent atoms:
1 Pr 0.000 0.000 0.000
2 Zn 0.000 0.500 0.500
3 Zn 0.105 0.390 0.218
4 Zn 0.179 0.179 0.356
5 Zn 0.250 0.250 0.000
6 Si 0.000 0.000 0.500

***

Record 12
VASP calculation (PBE-GGA) on a relaxed Pr3Np4N12 crystal.

Output
formation energy (no corrections)	-952	meV/atom

Lattice parameters (Å, degrees): 8.339 8.339 8.339 90.00 90.00 90.00
Space group Im-3 (No. 204)
One atom of each set of equivalent atoms:
1 Pr 0.000 0.000 0.500
2 Np 0.250 0.250 0.250
3 N 0.000 0.293 0.230

***

Record 13
VASP calculation (PBE-GGA) on a relaxed Nd6Pt2SeBr3 crystal.

Output
formation energy (no corrections)	-1320	meV/atom

Lattice parameters (Å, degrees): 7.506 12.941 7.788 90.00 108.64 90.00
Space group C2/m (No. 12)
One atom of each set of equivalent atoms:
1 Nd 0.214 0.000 0.203
2 Nd 0.246 0.323 0.206
3 Pt 0.000 0.167 0.000
4 Se 0.000 0.500 0.000
5 Br 0.000 0.000 0.500
6 Br 0.000 0.342 0.500

***

Record 14
VASP calculation (PBE-GGA) on a relaxed Na2CuSn6 crystal.

Output
formation energy	-7.9	kJ/mol of atoms
polymorph energy (0 for the lowest one)	0.000	eV per atom

Lattice parameters (Å, degrees): 11.635 6.588 6.199 90.00 91.19 90.00
Space group C2/m (No. 12)
One atom of each set of equivalent atoms:
1 Na 0.163 0.000 0.332
2 Cu 0.000 0.500 0.500
3 Sn 0.088 0.246 0.807
4 Sn 0.171 0.500 0.207

***

Record 15
VASP calculation (PBE-GGA) on a relaxed Be2NbW crystal.

Output
formation energy	29.8	kJ/mol of atoms
polymorph energy (0 for the lowest one)	0.129	eV per atom

Lattice parameters (Å, degrees): 3.3032 3.3032 16.6704 90.00 90.00 120.00
Space group R-3m (No. 166, hexagonal axes)
One atom of each set of equivalent atoms:
1 Be 0.0000 0.0000 0.2463
2 Nb 0.0000 0.0000 0.0000
3 W 0.0000 0.0000 0.5000

***

Record 16
VASP calculation (PBE-GGA) on a relaxed KAg2Au crystal.

Output
formation energy	9.5	kJ/mol of atoms
polymorph energy (0 for the lowest one)	0.202	eV per atom

Lattice parameters (Å, degrees): 2.980 5.504 11.129 90.00 90.00 90.00
Space group Imm2 (No. 44)
One atom of each set of equivalent atoms:
1 K 0.000 0.000 0.000
2 Ag 0.000 0.000 0.506
3 Ag 0.000 0.500 0.788
4 Au 0.000 0.500 0.223

***

Record 17
VASP calculation (PBE-GGA) on a relaxed Tb6SmDy2Mg crystal.

Output
formation energy	10.8	kJ/mol of atoms

Lattice parameters (Å, degrees): 9.997 19.424 6.605 90.00 98.92 90.00
Space group C2/c (No. 15)
One atom of each set of equivalent atoms:
1 Tb 0.065 0.145 0.033
2 Tb 0.110 0.416 0.979
3 Tb 0.175 0.260 0.719
4 Sm 0.000 0.009 0.750
5 Dy 0.238 0.416 0.495
6 Mg 0.000 0.293 0.250

***

Record 18
VASP calculation (PBE-GGA) on a relaxed NaPdSe2Br crystal.

Output
formation energy (no corrections)	-239	meV/atom
polymorph energy (0 for the lowest one)	0.000	eV per atom

Lattice parameters (Å, degrees): 4.972 4.972 5.430 90.00 90.00 90.00
Space group P4/mmm (No. 123)
One atom of each set of equivalent atoms:
1 Na 0.000 0.000 0.000
2 Pd 0.500 0.500 0.500
3 Se 0.000 0.500 0.500
4 Br 0.500 0.500 0.000

***

Record 19
VASP calculation (PBE-GGA) on a relaxed Li2PrH4 crystal.

Output
DFT total energy	-3.24	eV per atom

Lattice parameters (Å, degrees): 4.556 4.556 10.739 90.00 90.00 90.00
Space group I4/mmm (No. 139)
One atom of each set of equivalent atoms:
1 Li 0.000 0.000 0.133
2 Pr 0.000 0.000 0.500
3 H 0.000 0.000 0.291
4 H 0.000 0.500 0.000

***

Record 20
VASP calculation (PBE-GGA) on a relaxed YSnPd3 crystal.

Output
formation energy	39.5	kJ/mol of atoms
polymorph energy (0 for the lowest one)	0.798	eV per atom

Lattice parameters (Å, degrees): 5.069 5.069 5.069 90.00 90.00 90.00
Space group Pm-3m (No. 221)
One atom of each set of equivalent atoms:
1 Y 0.000 0.000 0.000
2 Sn 0.500 0.500 0.500
3 Pd 0.000 0.000 0.500

***

Record 21
VASP calculation (PBE-GGA) on a relaxed CaN2Cl2 crystal.

Output
formation energy (no corrections)	-1434	meV/atom
polymorph energy (0 for the lowest one)	0.000	eV per atom

Lattice parameters (Å, degrees): 7.177 4.135 9.935 90.00 97.22 90.00
Space group C2/m (No. 12)
One atom of each set of equivalent atoms:
1 Ca 0.000 0.000 0.000
2 N 0.044 0.000 0.457
3 Cl 0.142 0.500 0.858

***

Record 22
VASP calculation (PBE-GGA) on a relaxed BeIr2Ru crystal.

Output
formation energy	13.6	kJ/mol of atoms

Lattice parameters (Å, degrees): 4.388 4.388 2.798 90.00 90.00 90.00
Space group P4/mmm (No. 123)
One atom of each set of equivalent atoms:
1 Be 0.000 0.000 0.000
2 Ir 0.000 0.500 0.500
3 Ru 0.500 0.500 0.000

***

Record 23
VASP calculation (PBE-GGA) on a relaxed ScTi2CoGe crystal.

Output
formation energy	126.5	kJ/mol of atoms

Lattice parameters (Å, degrees): 4.520 4.520 4.901 90.00 90.00 90.00
Space group P4/mmm (No. 123)
One atom of each set of equivalent atoms:
1 Sc 0.000 0.000 0.000
2 Ti 0.000 0.500 0.000
3 Co 0.500 0.500 0.500
4 Ge 0.000 0.000 0.500

***

The records above yield size of the total moment values of 7.6; 0.0; 0.0; 0.0; 0.0; 0.0; 0.0; 0.0; 7.3; 0.0; 0.0; 1.1; 0.0; 0.0; 0.0; 0.0; 0.0; 1.2; 0.0; 0.0; 0.0; 0.9; 1.8 μB/f.u., respectively.